Compound: AcPm2Ni9
Source: the Alexandria database
Functional: GGA-PBE
Structure: relaxed

The space group is R-3m (No. 166, hexagonal axes) and the conventional cell measures 5.0944, 5.0944 and 24.7245 Å, with angles of 90.00, 90.00 and 120.00 degrees. The inequivalent atoms are Ac at (0.0000, 0.0000, 0.0000), Pm at (0.0000, 0.0000, 0.1402), Ni at (0.0000, 0.0000, 0.3323), Ni at (0.0000, 0.0000, 0.5000) and Ni at (0.0009, 0.5004, 0.0827).

The formation energy comes out at -0.30 eV per atom. The value obtained for the size of the total moment is 0.1 μB/f.u. For the density of states at the Fermi level, the calculation gives 15.88 states/eV/f.u.

Compound: IrOsPtRh3
Source: the Alexandria database
Functional: GGA-PBE
Structure: relaxed

The space group is Cmcm (No. 63) and the conventional cell measures 3.857, 11.653 and 7.740 Å, with angles of 90.00, 90.00 and 90.00 degrees. The inequivalent atoms are Ir at (0.000, 0.002, 0.250), Os at (0.000, 0.500, 0.000), Pt at (0.000, 0.334, 0.250), Rh at (0.000, 0.161, 0.002) and Rh at (0.000, 0.339, 0.750).

The formation energy comes out at 0.00 eV per atom. The value obtained for the size of the total moment is 0.0 μB/f.u. For the density of states at the Fermi level, the calculation gives 6.24 states/eV/f.u.

Compound: BaAcSbPd
Source: the Alexandria database
Functional: GGA-PBE
Structure: relaxed

The space group is F-43m (No. 216) and the conventional cell measures 8.047, 8.047 and 8.047 Å, with angles of 90.00, 90.00 and 90.00 degrees. The inequivalent atoms are Ba at (0.000, 0.000, 0.000), Ac at (0.000, 0.000, 0.500), Sb at (0.250, 0.250, 0.750) and Pd at (0.250, 0.250, 0.250).

Its formation energy (no corrections) is -3.0 eV per formula unit. The value obtained for the size of the total moment is 0.0 μB/f.u. For the density of states at the Fermi level, the calculation gives 0.33 states/eV/f.u.